Material: Cd2AsPb
Method: DFT, PBE
State: relaxed

Values from the calculation:
Its excess energy over the best structure of this formula in the dataset is 93 meV/atom. The formation energy comes out at 164 meV/atom.

Cell: 10.9761 10.9761 10.9761 Å, 16.96 16.96 16.96°
With the nearest neighbours (Å) after each atom.
Fractional coordinates of all 4 atoms:
1 Cd 0.2424 0.2424 0.2424  3 As 3.09, 6 Cd 3.24
2 Cd 0.7576 0.7576 0.7576  3 As 3.09, 6 Cd 3.24
3 As 0.5000 0.5000 0.5000  6 Cd 3.09, 6 As 3.24
4 Pb 0.0000 0.0000 0.0000  6 Pb 3.24, 6 Cd 3.49



Material: CdAs2Pb
Method: DFT, PBE
State: relaxed

Values from the calculation:
The formation energy comes out at 286 meV/atom.

Cell: 5.1143 5.1143 5.1143 Å, 60.00 60.00 60.00°
With the nearest neighbours (Å) after each atom.
Fractional coordinates of all 4 atoms:
1 Cd 0.0000 0.0000 0.0000  4 As 3.13, 4 Pb 3.13
2 As 0.5000 0.5000 0.5000  4 As 3.13, 4 Pb 3.13
3 As 0.7500 0.7500 0.7500  4 Cd 3.13, 4 As 3.13
4 Pb 0.2500 0.2500 0.2500  4 Cd 3.13, 4 As 3.13



Material: Cd2AsPb
Method: DFT, PBE
State: relaxed

Values from the calculation:
Its excess energy over the best structure of this formula in the dataset is 15 meV/atom. The formation energy comes out at 86 meV/atom.

Cell: 4.2198 4.2198 8.2226 Å, 96.89 96.89 45.27°
With the nearest neighbours (Å) after each atom.
Fractional coordinates of all 4 atoms:
1 Cd 0.0000 0.0000 0.0000  5 Cd 3.04-3.25, 3 Pb 3.25-3.35
2 Cd 0.7410 0.7410 0.2464  3 As 2.83-2.89, 3 Cd 3.04-3.05
3 As 0.4821 0.4821 0.4581  3 Cd 2.83-2.89, 3 Pb 2.94-3.14
4 Pb 0.2425 0.2425 0.7072  3 As 2.94-3.14, 1 Cd 3.25, 2 Pb 3.25



Material: CdAs2Pb
Method: DFT, PBE
State: relaxed

Values from the calculation:
The formation energy comes out at 105 meV/atom.

Cell: 6.0303 6.0303 5.4657 Å, 116.52 116.52 34.41°
With the nearest neighbours (Å) after each atom.
Fractional coordinates of all 4 atoms:
1 Cd 0.0000 0.0000 0.0000  6 As 3.09-3.35, 2 Pb 3.31
2 As 0.2520 0.2520 0.7374  2 As 2.53
3 As 0.5753 0.5753 0.5746  2 As 2.53
4 Pb 0.7735 0.7735 0.2575  8 As 3.27-3.56, 4 Cd 3.31-3.66, 2 Pb 3.57



Material: CdAsPb2
Method: DFT, PBE
State: relaxed

Values from the calculation:
Its excess energy over the best structure of this formula in the dataset is 0 meV/atom. The formation energy comes out at 53 meV/atom.

Cell: 4.1345 4.1345 8.2790 Å, 104.37 104.37 60.17°
With the nearest neighbours (Å) after each atom.
Fractional coordinates of all 4 atoms:
1 Cd 0.0000 0.0000 0.0000  6 Pb 3.25-3.27
2 As 0.5000 0.5000 0.5000  6 Pb 2.96
3 Pb 0.2389 0.2389 0.7197  3 As 2.96, 3 Cd 3.25-3.27
4 Pb 0.7611 0.7611 0.2803  3 As 2.96, 3 Cd 3.25-3.27



Material: Cd2AsPb
Method: DFT, PBE
State: relaxed

Values from the calculation:
Its excess energy over the best structure of this formula in the dataset is 131 meV/atom. The formation energy comes out at 201 meV/atom.

Cell: 5.1878 5.1878 5.1878 Å, 60.00 60.00 60.00°
With the nearest neighbours (Å) after each atom.
Fractional coordinates of all 4 atoms:
1 Cd 0.2500 0.2500 0.2500  4 Pb 3.18, 4 As 3.18
2 Cd 0.7500 0.7500 0.7500  4 Pb 3.18, 4 As 3.18
3 As 0.0000 0.0000 0.0000  8 Cd 3.18
4 Pb 0.5000 0.5000 0.5000  8 Cd 3.18



Material: CdAs2Pb
Method: DFT, PBE
State: relaxed

Values from the calculation:
The formation energy comes out at 66 meV/atom.

Cell: 9.0514 9.0514 9.0514 Å, 23.36 23.36 23.36°
With the nearest neighbours (Å) after each atom.
Fractional coordinates of all 4 atoms:
1 Cd 0.0000 0.0000 0.0000  3 As 3.10, 3 Pb 3.26
2 As 0.4736 0.4736 0.4736  3 As 2.55
3 As 0.7527 0.7527 0.7527  3 As 2.55
4 Pb 0.2392 0.2392 0.2392  3 Cd 3.26, 3 As 3.36



Material: CdAs2Pb
Method: DFT, PBE
State: relaxed

Values from the calculation:
The formation energy comes out at 263 meV/atom.

Cell: 3.3637 3.3637 9.4587 Å, 90.00 90.00 113.97°
With the nearest neighbours (Å) after each atom.
Fractional coordinates of all 4 atoms:
1 Cd 0.0000 0.0000 0.0000  2 As 2.97, 2 Pb 3.24
2 As 0.0000 0.0000 0.4374  2 As 2.57
3 As 0.5000 0.5000 0.2466  2 As 2.57
4 Pb 0.5000 0.5000 0.7180  2 As 3.22, 2 Cd 3.24, 4 Pb 3.36



Material: Cd2As2Pb
Method: DFT, PBE
State: relaxed

Values from the calculation:
Its excess energy over the best structure of this formula in the dataset is 1 meV/atom. The formation energy comes out at 40 meV/atom.

Cell: 7.3811 7.3811 7.3811 Å, 146.04 146.04 48.78°
With the nearest neighbours (Å) after each atom.
Fractional coordinates of all 5 atoms:
1 Cd 0.2500 0.7500 0.5000  4 As 2.85, 4 Cd 3.05
2 Cd 0.7500 0.2500 0.5000  4 As 2.85, 4 Cd 3.05
3 As 0.1112 0.1112 0.0000  4 Cd 2.85, 1 As 2.99
4 As 0.8888 0.8888 0.0000  4 Cd 2.85, 1 As 2.99
5 Pb 0.5000 0.5000 0.0000  8 As 3.40



Material: Cd3AsPb
Method: DFT, PBE
State: relaxed

Values from the calculation:
Its excess energy over the best structure of this formula in the dataset is 393 meV/atom. The formation energy comes out at 711 meV/atom.

Cell: 5.6236 5.6236 5.6236 Å, 90.00 90.00 90.00°
With the nearest neighbours (Å) after each atom.
Fractional coordinates of all 5 atoms:
1 Cd 0.0000 0.0000 0.5000  2 Pb 2.81
2 Cd 0.0000 0.5000 0.0000  2 Pb 2.81
3 Cd 0.5000 0.0000 0.0000  2 Pb 2.81
4 As 0.5000 0.5000 0.5000  12 Cd 3.98
5 Pb 0.0000 0.0000 0.0000  6 Cd 2.81



Material: CdAs2Pb
Method: DFT, PBE
State: relaxed

Values from the calculation:
The formation energy comes out at 215 meV/atom.

Cell: 5.4877 5.4877 3.1654 Å, 90.23 90.23 89.24°
With the nearest neighbours (Å) after each atom.
Fractional coordinates of all 4 atoms:
1 Cd 0.0000 0.0000 0.0000  8 As 3.16-3.17, 2 Cd 3.17
2 As 0.0000 0.5000 0.5000  4 Pb 3.16-3.17, 4 Cd 3.16-3.17, 2 As 3.17
3 As 0.5000 0.0000 0.5000  4 Pb 3.16-3.17, 4 Cd 3.16-3.17, 2 As 3.17
4 Pb 0.5000 0.5000 0.0000  8 As 3.16-3.17, 2 Pb 3.17



Material: CdAs2Pb2
Method: DFT, PBE
State: relaxed

Values from the calculation:
Its excess energy over the best structure of this formula in the dataset is 104 meV/atom. The formation energy comes out at 205 meV/atom.

Cell: 8.4878 8.4878 3.7256 Å, 90.00 90.00 90.00°
With the nearest neighbours (Å) after each atom.
Fractional coordinates of all 10 atoms:
1 Cd 0.0000 0.0000 0.0000  4 Pb 3.25
2 Cd 0.5000 0.5000 0.0000  4 Pb 3.25
3 As 0.1467 0.3533 0.5000  6 Pb 3.10-3.11
4 As 0.3533 0.8533 0.5000  6 Pb 3.10-3.11
5 As 0.6467 0.1467 0.5000  6 Pb 3.10-3.11
6 As 0.8533 0.6467 0.5000  6 Pb 3.10-3.11
7 Pb 0.1470 0.6470 0.0000  6 As 3.10-3.11, 2 Cd 3.25
8 Pb 0.3530 0.1470 0.0000  6 As 3.10-3.11, 2 Cd 3.25
9 Pb 0.6470 0.8530 0.0000  6 As 3.10-3.11, 2 Cd 3.25
10 Pb 0.8530 0.3530 0.0000  6 As 3.10-3.11, 2 Cd 3.25



Material: CdAsPb2
Method: DFT, PBE
State: relaxed

Values from the calculation:
Its excess energy over the best structure of this formula in the dataset is 12 meV/atom. The formation energy comes out at 64 meV/atom.

Cell: 8.0731 8.0731 8.0731 Å, 29.72 29.72 29.72°
With the nearest neighbours (Å) after each atom.
Fractional coordinates of all 4 atoms:
1 Cd 0.0000 0.0000 0.0000  3 As 2.81
2 As 0.7306 0.7306 0.7306  3 Cd 2.81, 3 Pb 2.93
3 Pb 0.2439 0.2439 0.2439  3 Cd 3.16, 3 Pb 3.44
4 Pb 0.4703 0.4703 0.4703  3 As 2.93



Material: CdAs2Pb
Method: DFT, PBE
State: relaxed

Values from the calculation:
The formation energy comes out at 209 meV/atom.

Cell: 5.2982 5.2982 5.2982 Å, 130.29 115.33 85.74°
With the nearest neighbours (Å) after each atom.
Fractional coordinates of all 4 atoms:
1 Cd 0.0000 0.0000 0.0000  4 As 2.78
2 As 0.2138 0.7138 0.5000  2 Cd 2.78
3 As 0.7862 0.2862 0.5000  2 Cd 2.78
4 Pb 0.5000 0.5000 0.0000  8 As 3.15-3.28



Material: Cd2AsPb
Method: DFT, PBE
State: relaxed

Values from the calculation:
Its excess energy over the best structure of this formula in the dataset is 39 meV/atom. The formation energy comes out at 109 meV/atom.

Cell: 5.7248 5.7248 5.7248 Å, 138.63 124.66 71.39°
With the nearest neighbours (Å) after each atom.
Fractional coordinates of all 4 atoms:
1 Cd 0.2262 0.2262 0.0000  2 As 2.92, 2 Pb 3.25
2 Cd 0.7738 0.7738 0.0000  2 As 2.92, 2 Pb 3.25
3 As 0.0000 0.5000 0.5000  4 Cd 2.92
4 Pb 0.5000 0.0000 0.5000  8 Cd 3.25-3.39, 4 As 3.34



Material: Cd2AsPb
Method: DFT, PBE
State: relaxed

Values from the calculation:
Its excess energy over the best structure of this formula in the dataset is 87 meV/atom. The formation energy comes out at 157 meV/atom.

Cell: 6.5280 6.5280 3.2679 Å, 103.74 103.74 123.89°
With the nearest neighbours (Å) after each atom.
Fractional coordinates of all 4 atoms:
1 Cd 0.0000 0.5000 0.0000  6 Cd 3.07-3.27, 2 Pb 3.26, 2 As 3.26
2 Cd 0.5000 0.0000 0.0000  6 Cd 3.07-3.27, 2 Pb 3.26, 2 As 3.26
3 As 0.0000 0.0000 0.0000  4 Pb 3.07-3.16, 4 Cd 3.26, 2 As 3.27
4 Pb 0.5000 0.5000 0.0000  4 As 3.07-3.16, 4 Cd 3.26, 2 Pb 3.27



Material: CdAsPb
Method: DFT, PBE
State: relaxed

Values from the calculation:
The formation energy comes out at 134 meV/atom.

Cell: 6.2751 6.2751 6.2751 Å, 148.64 143.90 48.55°
With the nearest neighbours (Å) after each atom.
Fractional coordinates of all 3 atoms:
1 Cd 0.0000 0.0000 0.0000  4 As 2.98
2 As 0.3694 0.3694 0.0000  4 Cd 2.98, 4 Pb 3.22
3 Pb 0.7002 0.7002 0.0000  4 As 3.22, 2 Pb 3.39, 5 Cd 3.43-3.45



Material: CdAs2Pd7Pb2
Method: DFT, PBE
State: relaxed

Values from the calculation:
The formation energy comes out at -274 meV/atom.

Cell: 4.0642 4.0642 14.2572 Å, 95.21 95.21 89.74°
With the nearest neighbours (Å) after each atom.
Fractional coordinates of all 12 atoms:
1 Cd 0.0000 0.0000 0.0000  12 Pd 2.87-2.89
2 As 0.4230 0.4230 0.7561  5 Pd 2.46-2.50
3 As 0.5770 0.5770 0.2439  5 Pd 2.46-2.50
4 Pd 0.0467 0.5466 0.1453  2 As 2.46-2.47
5 Pd 0.3866 0.3866 0.5797  1 As 2.50, 1 Pd 2.76
6 Pd 0.4534 0.9533 0.8547  2 As 2.46-2.47
7 Pd 0.5000 0.5000 0.0000  4 Cd 2.87-2.88, 8 Pd 2.89
8 Pd 0.5466 0.0467 0.1453  2 As 2.46-2.47
9 Pd 0.6134 0.6134 0.4203  1 As 2.50, 1 Pd 2.76
10 Pd 0.9533 0.4534 0.8547  2 As 2.46-2.47
11 Pb 0.1111 0.1111 0.3888  5 Pd 2.87-2.97
12 Pb 0.8889 0.8889 0.6112  5 Pd 2.87-2.97



Material: Rb3Cd2As4Pb2
Method: DFT, PBE
State: relaxed

Values from the calculation:
The formation energy comes out at -276 meV/atom.

Cell: 4.8207 4.8207 19.0968 Å, 90.00 90.00 120.00°
With the nearest neighbours (Å) after each atom.
Fractional coordinates of all 11 atoms:
1 Rb 0.0000 0.0000 0.0000  6 Cd 3.84, 6 As 3.86
2 Rb 0.0000 0.0000 0.2757  6 As 3.69-3.81, 3 Cd 3.82
3 Rb 0.0000 0.0000 0.7243  6 As 3.69-3.81, 3 Cd 3.82
4 Cd 0.3333 0.6667 0.1386  3 As 2.78
5 Cd 0.6667 0.3333 0.8614  3 As 2.78
6 As 0.3333 0.6667 0.4028  4 Pb 2.88-2.97
7 As 0.3333 0.6667 0.8602  3 Cd 2.78
8 As 0.6667 0.3333 0.1398  3 Cd 2.78
9 As 0.6667 0.3333 0.5972  4 Pb 2.88-2.97
10 Pb 0.3333 0.6667 0.5581  4 As 2.88-2.97
11 Pb 0.6667 0.3333 0.4419  4 As 2.88-2.97



Material: CdSbAsPb2
Method: DFT, PBE
State: relaxed

Values from the calculation:
The calculation puts the uncorrected formation energy at 597 meV/atom.

Cell: 5.9905 5.9905 5.2360 Å, 90.00 90.00 90.00°
With the nearest neighbours (Å) after each atom.
Fractional coordinates of all 5 atoms:
1 Cd 0.0000 0.0000 0.0000  8 Pb 3.98, 4 As 4.24
2 Sb 0.5000 0.5000 0.5000  2 As 2.62
3 As 0.5000 0.5000 0.0000  2 Sb 2.62
4 Pb 0.0000 0.5000 0.5000  2 Sb 3.00
5 Pb 0.5000 0.0000 0.5000  2 Sb 3.00



| no. | total DFT energy (no corrections) (eV/atom) |
| --- | --- |
| 1 | -2.383 |
| 2 | -3.194 |
| 3 | -2.461 |
| 4 | -3.376 |
| 5 | -3.193 |
| 6 | -2.346 |
| 7 | -3.414 |
| 8 | -3.218 |
| 9 | -2.927 |
| 10 | -1.509 |
| 11 | -3.266 |
| 12 | -3.321 |
| 13 | -3.181 |
| 14 | -3.271 |
| 15 | -2.438 |
| 16 | -2.390 |
| 17 | -2.957 |
| 18 | -4.772 |
| 19 | -3.071 |
| 20 | -2.824 |